First-principles (GGA-PBE) data for MgSiIr2 after structural relaxation, as listed in Alexandria.

Output
Formation energy without anion corrections, eV/atom: -0.535

Unit cell a=6.032 b=6.032 c=6.032 alpha=90.00 beta=90.00 gamma=90.00
Space group Fm-3m (No. 225)
Unique sites:
Mg: 0.000 0.000 0.000
Si: 0.000 0.000 0.500
Ir: 0.250 0.250 0.250